Entry 1:
NaHS5 | PBE-GGA | relaxed

Summary:
final energy	-98.1	eV per cell

a = 5.478 Å, b = 20.612 Å, c = 7.451 Å
α = 90.00°, β = 108.65°, γ = 90.00°
Space group C2/c (No. 15)
Symmetry-distinct sites (fractional):
Na 0.000 0.000 0.000 (multiplicity 4)
H 0.000 0.041 0.250 (multiplicity 4)
S 0.000 0.392 0.250 (multiplicity 4)
S 0.156 0.326 0.095 (multiplicity 8)
S 0.181 0.379 0.873 (multiplicity 8)

---

Entry 2:
NaPuBi | PBE-GGA | relaxed

Summary:
final energy	-40.2	eV per cell
ΔE_f	-0.1912	eV/atom

a = 5.060 Å, b = 5.060 Å, c = 8.138 Å
α = 90.00°, β = 90.00°, γ = 90.00°
Space group P4/nmm (No. 129, origin choice 2)
Symmetry-distinct sites (fractional):
Na 0.250 0.750 0.000 (multiplicity 2)
Pu 0.250 0.750 0.500 (multiplicity 2)
Bi 0.250 0.250 0.247 (multiplicity 2)

---

Entry 3:
Ca2InAs | PBE-GGA | relaxed

Summary:
excess energy over the best structure of this formula in the dataset	6.45	kcal/mol of atoms
final energy	-39.5	eV per cell
ΔE_f	-0.4413	eV/atom

a = 4.1640 Å, b = 4.1640 Å, c = 26.3027 Å
α = 90.00°, β = 90.00°, γ = 120.00°
Space group R3m (No. 160, hexagonal axes)
Symmetry-distinct sites (fractional):
Ca 0.0000 0.0000 0.0000 (multiplicity 3)
Ca 0.0000 0.0000 0.2084 (multiplicity 3)
In 0.0000 0.0000 0.7579 (multiplicity 3)
As 0.0000 0.0000 0.4782 (multiplicity 3)

---

Entry 4:
KCd2Co | PBE-GGA | relaxed

Summary:
excess energy over the best structure of this formula in the dataset	3.44	kcal/mol of atoms
final energy	-24.5	eV per cell
ΔE_f	0.4677	eV/atom

a = 3.1556 Å, b = 3.1556 Å, c = 31.2045 Å
α = 90.00°, β = 90.00°, γ = 120.00°
Space group R-3m (No. 166, hexagonal axes)
Symmetry-distinct sites (fractional):
K 0.0000 0.0000 0.0000 (multiplicity 3)
Cd 0.0000 0.0000 0.2332 (multiplicity 6)
Co 0.0000 0.0000 0.5000 (multiplicity 3)

---

Entry 5:
ZnWCl4 | PBE-GGA | relaxed

Summary:
energy relative to the elements, uncorrected	1.2908	eV/atom
final energy	-55.5	eV per cell

a = 8.157 Å, b = 8.157 Å, c = 8.157 Å
α = 90.00°, β = 90.00°, γ = 90.00°
Space group F-43m (No. 216)
Symmetry-distinct sites (fractional):
Zn 0.000 0.000 0.000 (multiplicity 4)
W 0.250 0.250 0.250 (multiplicity 4)
Cl 0.125 0.125 0.625 (multiplicity 16)

---

Entry 6:
TeOsIO2 | PBE-GGA | relaxed

Summary:
excess energy over the best structure of this formula in the dataset	0.00	kcal/mol of atoms
energy relative to the elements, uncorrected	0.1057	eV/atom
final energy	-25.3	eV per cell

a = 3.967 Å, b = 3.967 Å, c = 6.607 Å
α = 90.00°, β = 90.00°, γ = 90.00°
Space group P4/mmm (No. 123)
Symmetry-distinct sites (fractional):
Te 0.000 0.000 0.000 (multiplicity 1)
Os 0.500 0.500 0.500 (multiplicity 1)
I 0.500 0.500 0.000 (multiplicity 1)
O 0.000 0.500 0.500 (multiplicity 2)

---

Entry 7:
GdCdSn4 | PBE-GGA | relaxed

Summary:
final energy	-127.6	eV per cell
ΔE_f	-0.1508	eV/atom

a = 8.738 Å, b = 8.738 Å, c = 8.738 Å
α = 90.00°, β = 90.00°, γ = 90.00°
Space group F-43m (No. 216)
Symmetry-distinct sites (fractional):
Gd 0.000 0.000 0.000 (multiplicity 4)
Cd 0.250 0.250 0.750 (multiplicity 4)
Sn 0.125 0.125 0.375 (multiplicity 16)

---

Entry 8:
AlCd2Re | PBE-GGA | relaxed

Summary:
final energy	-16.9	eV per cell
ΔE_f	0.2797	eV/atom

a = 2.785 Å, b = 4.229 Å, c = 6.402 Å
α = 90.00°, β = 102.55°, γ = 90.00°
Space group Pm (No. 6)
Symmetry-distinct sites (fractional):
Al 0.000 0.000 0.000 (multiplicity 1)
Cd 0.159 0.500 0.310 (multiplicity 1)
Cd 0.788 0.000 0.570 (multiplicity 1)
Re 0.441 0.500 0.881 (multiplicity 1)

---

| no. | total moment (μB per cell) |
| --- | --- |
| 1 | 0.00 |
| 2 | 11.99 |
| 3 | 0.00 |
| 4 | 4.05 |
| 5 | 7.81 |
| 6 | 0.37 |
| 7 | 28.07 |
| 8 | 0.00 |